[1]
Material: Sm9Ga4
Method: DFT, GGA-PBEsol
State: optimized geometry

a = 8.6515 Å, b = 8.6515 Å, c = 8.6515 Å
α = 94.82°, β = 94.82°, γ = 146.29°
Positions (direct):
Sm 0.0000 0.0000 0.0000
Sm 0.0958 0.3753 0.4711
Sm 0.3144 0.6080 0.9224
Sm 0.3753 0.9042 0.2796
Sm 0.3920 0.3144 0.7064
Sm 0.6080 0.6856 0.2936
Sm 0.6247 0.0958 0.7204
Sm 0.6856 0.3920 0.0776
Sm 0.9042 0.6247 0.5289
Ga 0.1130 0.7685 0.8815
Ga 0.2315 0.1130 0.3445
Ga 0.7685 0.8870 0.6555
Ga 0.8870 0.2315 0.1185

Results
SG: No. 87
Formation enthalpy at 0 K in kJ/mol of formula units: -502

***

[2]
Material: Sm5Ga3
Method: DFT, GGA-PBEsol
State: optimized geometry

a = 7.6411 Å, b = 7.6411 Å, c = 14.2025 Å
α = 90.00°, β = 90.00°, γ = 90.00°
Positions (direct):
Sm 0.0645 0.5924 0.1027
Sm 0.0645 0.9076 0.6027
Sm 0.0924 0.5645 0.3973
Sm 0.0924 0.9355 0.8973
Sm 0.2500 0.2500 0.2205
Sm 0.2500 0.2500 0.7205
Sm 0.4076 0.5645 0.8973
Sm 0.4076 0.9355 0.3973
Sm 0.4355 0.5924 0.6027
Sm 0.4355 0.9076 0.1027
Sm 0.5645 0.0924 0.8973
Sm 0.5645 0.4076 0.3973
Sm 0.5924 0.0645 0.6027
Sm 0.5924 0.4355 0.1027
Sm 0.7500 0.7500 0.2795
Sm 0.7500 0.7500 0.7795
Sm 0.9076 0.0645 0.1027
Sm 0.9076 0.4355 0.6027
Sm 0.9355 0.0924 0.3973
Sm 0.9355 0.4076 0.8973
Ga 0.1301 0.6301 0.7500
Ga 0.1301 0.8699 0.2500
Ga 0.2500 0.2500 0.0061
Ga 0.2500 0.2500 0.5061
Ga 0.3699 0.6301 0.2500
Ga 0.3699 0.8699 0.7500
Ga 0.6301 0.1301 0.2500
Ga 0.6301 0.3699 0.7500
Ga 0.7500 0.7500 0.4939
Ga 0.7500 0.7500 0.9939
Ga 0.8699 0.1301 0.7500
Ga 0.8699 0.3699 0.2500

Results
SG: No. 130
Formation enthalpy at 0 K in kJ/mol of formula units: -374
ΔE to the lowest computed polymorph in meV/atom: 0

***

[3]
Material: Sm3Ga2
Method: DFT, GGA-PBEsol
State: optimized geometry

a = 11.1424 Å, b = 11.1424 Å, c = 11.1424 Å
α = 117.08°, β = 117.08°, γ = 95.13°
Positions (direct):
Sm 0.0662 0.9332 0.2669
Sm 0.0668 0.3336 0.1329
Sm 0.1504 0.6504 0.5000
Sm 0.1664 0.4332 0.8671
Sm 0.1672 0.3328 0.5000
Sm 0.2007 0.9338 0.8671
Sm 0.2993 0.1664 0.7331
Sm 0.3328 0.8328 0.1657
Sm 0.3336 0.2007 0.2669
Sm 0.3496 0.8496 0.5000
Sm 0.4332 0.5662 0.2669
Sm 0.4338 0.7007 0.8671
Sm 0.5662 0.2993 0.1329
Sm 0.5668 0.4338 0.7331
Sm 0.6504 0.1504 0.5000
Sm 0.6664 0.7993 0.7331
Sm 0.6672 0.1672 0.8343
Sm 0.7007 0.8336 0.2669
Sm 0.7993 0.0662 0.1329
Sm 0.8328 0.6672 0.5000
Sm 0.8336 0.5668 0.1329
Sm 0.8496 0.3496 0.5000
Sm 0.9332 0.6664 0.8671
Sm 0.9338 0.0668 0.7331
Ga 0.0000 0.0000 0.0000
Ga 0.0243 0.8825 0.5000
Ga 0.1148 0.6148 0.7297
Ga 0.1175 0.6175 0.1418
Ga 0.2500 0.2500 0.0000
Ga 0.3825 0.5243 0.5000
Ga 0.3852 0.1148 0.5000
Ga 0.4757 0.9757 0.8582
Ga 0.5000 0.5000 0.0000
Ga 0.5243 0.0243 0.1418
Ga 0.6148 0.8852 0.5000
Ga 0.6175 0.4757 0.5000
Ga 0.7500 0.7500 0.0000
Ga 0.8825 0.3825 0.8582
Ga 0.8852 0.3852 0.2703
Ga 0.9757 0.1175 0.5000

Results
SG: No. 140
Formation enthalpy at 0 K in kJ/mol of formula units: -251

***

[4]
Material: Sm5Ga3
Method: DFT, GGA-PBEsol
State: optimized geometry

a = 8.9381 Å, b = 8.9381 Å, c = 8.9381 Å
α = 129.59°, β = 129.59°, γ = 74.07°
Positions (direct):
Sm 0.0000 0.0000 0.0000
Sm 0.0237 0.5237 0.8465
Sm 0.1772 0.0237 0.5000
Sm 0.3228 0.8228 0.8465
Sm 0.4763 0.3228 0.5000
Sm 0.5000 0.5000 0.0000
Sm 0.5237 0.6772 0.5000
Sm 0.6772 0.1772 0.1535
Sm 0.8228 0.9763 0.5000
Sm 0.9763 0.4763 0.1535
Ga 0.1181 0.3819 0.5000
Ga 0.2500 0.2500 0.0000
Ga 0.3819 0.8819 0.2638
Ga 0.6181 0.1181 0.7362
Ga 0.7500 0.7500 0.0000
Ga 0.8819 0.6181 0.5000

Results
SG: No. 140
Formation enthalpy at 0 K in kJ/mol of formula units: -365
ΔE to the lowest computed polymorph in meV/atom: 12

***

[5]
Material: SmGa2
Method: DFT, GGA-PBEsol
State: optimized geometry

a = 4.1959 Å, b = 4.1959 Å, c = 4.1266 Å
α = 90.00°, β = 90.00°, γ = 120.00°
Positions (direct):
Sm 0.0000 0.0000 0.0000
Ga 0.3333 0.6667 0.5000
Ga 0.6667 0.3333 0.5000

Results
SG: No. 191
Formation enthalpy at 0 K in kJ/mol of formula units: -212

***

[6]
Material: SmGa3
Method: DFT, GGA-PBEsol
State: optimized geometry

a = 6.2874 Å, b = 6.2874 Å, c = 4.4914 Å
α = 90.00°, β = 90.00°, γ = 120.00°
Positions (direct):
Sm 0.3333 0.6667 0.2500
Sm 0.6667 0.3333 0.7500
Ga 0.1448 0.2895 0.7500
Ga 0.1448 0.8552 0.7500
Ga 0.2895 0.1448 0.2500
Ga 0.7105 0.8552 0.7500
Ga 0.8552 0.1448 0.2500
Ga 0.8552 0.7105 0.2500

Results
SG: No. 194
Formation enthalpy at 0 K in kJ/mol of formula units: -240

***

[7]
Material: Sm3Ga2Sn3
Method: DFT, GGA-PBEsol
State: optimized geometry

a = 6.2997 Å, b = 6.2997 Å, c = 9.9184 Å
α = 90.00°, β = 90.00°, γ = 77.54°
Positions (direct):
Sm 0.1333 0.8667 0.7500
Sm 0.2976 0.2976 0.0000
Sm 0.2976 0.2976 0.5000
Sm 0.7024 0.7024 0.0000
Sm 0.7024 0.7024 0.5000
Sm 0.8667 0.1333 0.2500
Ga 0.1838 0.8162 0.0425
Ga 0.1838 0.8162 0.4575
Ga 0.8162 0.1838 0.5425
Ga 0.8162 0.1838 0.9575
Sn 0.0072 0.5875 0.2500
Sn 0.4125 0.9928 0.2500
Sn 0.4793 0.5207 0.2500
Sn 0.5207 0.4793 0.7500
Sn 0.5875 0.0072 0.7500
Sn 0.9928 0.4125 0.7500

Results
SG: No. 63
Formation enthalpy at 0 K in kJ/mol of formula units: -576

***

[8]
Material: SmZn2Ga2
Method: DFT, GGA-PBEsol
State: optimized geometry

a = 6.0201 Å, b = 6.0201 Å, c = 6.0201 Å
α = 139.99°, β = 139.99°, γ = 57.87°
Positions (direct):
Sm 0.0000 0.0000 0.0000
Zn 0.2500 0.7500 0.5000
Zn 0.7500 0.2500 0.5000
Ga 0.3851 0.3851 0.0000
Ga 0.6149 0.6149 0.0000

Results
SG: No. 139
Formation enthalpy at 0 K in kJ/mol of formula units: -251